Record 1
{"formula": "Sc2As", "functional": "PBE", "state": "optimized geometry", "volume_a3_per_atom": 23.587, "dos_at_fermi_per_ev_cell": 7.02, "total_energy_ev_per_fu": -19.5, "formation_energy_ev_per_atom": -0.73, "lattice": [[1.865, -6.962, 0.000], [1.865, 6.962, 0.000], [0.000, 0.000, 5.449]], "species": ["As", "As", "Sc", "Sc", "Sc", "Sc"], "frac_coords": [[0.809, 0.191, 0.750], [0.191, 0.809, 0.250], [0.170, 0.830, 0.750], [0.830, 0.170, 0.250], [0.558, 0.442, 0.250], [0.442, 0.558, 0.750]]}

=====

Record 2
{"formula": "SmTm2H8", "functional": "PBE", "state": "optimized geometry", "volume_a3_per_atom": 9.207, "dos_at_fermi_per_ev_cell": 0.96, "total_energy_ev_per_fu": -47.2, "lattice": [[3.457, 0.000, -1.052], [-0.768, 4.443, -2.523], [0.014, 0.548, 6.250]], "species": ["H", "H", "H", "Sm", "H", "H", "H", "H", "Tm", "Tm", "H"], "frac_coords": [[0.157, 0.157, 0.313], [0.000, 0.716, 0.000], [0.334, 0.568, 0.668], [0.500, 0.000, 0.000], [0.666, 0.900, 0.332], [0.000, 0.284, 0.000], [0.666, 0.432, 0.332], [0.843, 0.843, 0.687], [0.170, 0.670, 0.339], [0.830, 0.330, 0.661], [0.334, 0.100, 0.668]]}

=====

Record 3
{"formula": "Dy2IrPb", "functional": "PBE", "state": "optimized geometry", "de_polymorph_mev_per_atom": 201, "volume_a3_per_atom": 23.929, "dos_at_fermi_per_ev_cell": 3.67, "total_energy_ev_per_fu": -23.7, "formation_energy_ev_per_atom": -0.48, "lattice": [[-2.131, 3.261, 3.345], [-4.633, -1.006, 1.970], [-0.457, -1.323, 4.940]], "species": ["Pb", "Dy", "Ir", "Dy"], "frac_coords": [[0.000, 0.000, 0.000], [0.750, 0.750, 0.750], [0.500, 0.500, 0.500], [0.250, 0.250, 0.250]]}

=====

Record 4
{"formula": "Ba2NaBr2", "functional": "PBE", "state": "optimized geometry", "de_polymorph_mev_per_atom": 0, "formation_energy_uncorrected_ev_per_atom": -1.225, "volume_a3_per_atom": 48.550, "dos_at_fermi_per_ev_cell": 4.01, "total_energy_ev_per_fu": -14.6, "lattice": [[5.441, 0.000, 0.000], [0.000, 5.441, 0.000], [2.721, 2.721, 8.199]], "species": ["Na", "Ba", "Ba", "Br", "Br"], "frac_coords": [[0.000, 0.000, 0.000], [0.636, 0.636, 0.729], [0.364, 0.364, 0.271], [0.250, 0.750, 0.500], [0.750, 0.250, 0.500]]}

=====

Record 5
{"formula": "Hf8GaCo2", "functional": "PBE", "state": "optimized geometry", "volume_a3_per_atom": 20.203, "dos_at_fermi_per_ev_cell": 11.16, "total_energy_ev_per_fu": -98.0, "formation_energy_ev_per_atom": -0.11, "lattice": [[-3.022, -0.732, 3.981], [-3.046, -4.533, -4.699], [6.288, -2.071, 2.842]], "species": ["Hf", "Hf", "Co", "Hf", "Hf", "Hf", "Hf", "Co", "Ga", "Hf", "Hf"], "frac_coords": [[0.056, 0.090, 0.333], [0.314, 0.600, 0.600], [0.000, 0.710, 0.290], [0.686, 0.400, 0.400], [0.500, 0.247, 0.753], [0.500, 0.753, 0.247], [0.944, 0.667, 0.910], [0.000, 0.290, 0.710], [0.500, 0.000, 0.000], [0.056, 0.333, 0.090], [0.944, 0.910, 0.667]]}

=====

Record 6
{"formula": "Tm4Ir3Au", "functional": "PBE", "state": "optimized geometry", "volume_a3_per_atom": 20.046, "dos_at_fermi_per_ev_cell": 13.22, "total_energy_ev_per_fu": -54.9, "formation_energy_ev_per_atom": -0.90, "lattice": [[4.905, 0.000, 0.000], [0.000, 6.666, 0.000], [0.000, 0.000, 9.810]], "species": ["Tm", "Ir", "Ir", "Au", "Tm", "Tm", "Ir", "Ir", "Tm", "Ir", "Au", "Tm", "Tm", "Ir", "Tm", "Tm"], "frac_coords": [[0.000, 0.757, 0.250], [0.000, 0.000, 0.000], [0.500, 0.500, 0.250], [0.000, 0.500, 0.000], [0.500, 0.757, 0.000], [0.000, 0.243, 0.750], [0.501, 0.000, 0.750], [0.500, 0.500, 0.750], [0.500, 0.243, 0.500], [0.499, 0.000, 0.250], [0.000, 0.500, 0.500], [0.500, 0.757, 0.500], [0.000, 0.757, 0.750], [0.000, 0.000, 0.500], [0.500, 0.243, 0.000], [0.000, 0.243, 0.250]]}

=====

Record 7
{"formula": "ZrCu2NiSn", "functional": "PBE", "state": "optimized geometry", "volume_a3_per_atom": 22.655, "dos_at_fermi_per_ev_cell": 4.79, "total_energy_ev_per_fu": -21.3, "formation_energy_ev_per_atom": 1.05, "lattice": [[4.949, 0.000, 0.000], [0.000, 4.625, 0.000], [0.000, 0.000, 4.949]], "species": ["Cu", "Cu", "Zr", "Ni", "Sn"], "frac_coords": [[0.000, 0.000, 0.500], [0.500, 0.000, 0.000], [0.000, 0.000, 0.000], [0.000, 0.500, 0.000], [0.500, 0.500, 0.500]]}

=====

Record 8
{"formula": "Hf2Fe2Ni", "functional": "PBE", "state": "optimized geometry", "volume_a3_per_atom": 15.106, "dos_at_fermi_per_ev_cell": 9.16, "total_energy_ev_per_fu": -43.5, "formation_energy_ev_per_atom": -0.19, "lattice": [[6.284, 0.000, 0.000], [0.000, 6.284, 0.000], [0.000, 0.000, 3.825]], "species": ["Ni", "Hf", "Hf", "Ni", "Hf", "Fe", "Fe", "Fe", "Hf", "Fe"], "frac_coords": [[0.500, 0.500, 0.000], [0.317, 0.183, 0.500], [0.183, 0.683, 0.500], [0.000, 0.000, 0.000], [0.683, 0.817, 0.500], [0.380, 0.880, 0.000], [0.120, 0.380, 0.000], [0.880, 0.620, 0.000], [0.817, 0.317, 0.500], [0.620, 0.120, 0.000]]}

=====

Record 9
{"formula": "CePd5Au2", "functional": "PBE", "state": "optimized geometry", "de_polymorph_mev_per_atom": 0, "volume_a3_per_atom": 17.327, "dos_at_fermi_per_ev_cell": 3.49, "total_energy_ev_per_fu": -42.3, "formation_energy_ev_per_atom": -0.48, "lattice": [[3.936, 0.000, -1.476], [-0.554, 3.897, -1.476], [0.862, 0.993, 8.285]], "species": ["Pd", "Au", "Pd", "Pd", "Ce", "Pd", "Au", "Pd"], "frac_coords": [[0.500, 0.500, 0.000], [0.748, 0.748, 0.497], [0.126, 0.626, 0.251], [0.626, 0.126, 0.251], [0.000, 0.000, 0.000], [0.374, 0.874, 0.749], [0.252, 0.252, 0.503], [0.874, 0.374, 0.749]]}

=====

Record 10
{"formula": "Dy5Zn2Rh2", "functional": "PBE", "state": "optimized geometry", "volume_a3_per_atom": 23.797, "dos_at_fermi_per_ev_cell": 10.18, "total_energy_ev_per_fu": -45.0, "formation_energy_ev_per_atom": -0.53, "lattice": [[7.578, 0.000, 0.000], [0.000, 7.335, 0.000], [0.000, -3.668, 7.705]], "species": ["Dy", "Dy", "Dy", "Dy", "Zn", "Rh", "Rh", "Zn", "Zn", "Rh", "Rh", "Dy", "Dy", "Dy", "Zn", "Dy", "Dy", "Dy"], "frac_coords": [[0.500, 0.500, 0.000], [0.826, 0.804, 0.259], [0.674, 0.045, 0.741], [0.174, 0.455, 0.259], [0.000, 0.213, 0.426], [0.866, 0.371, 0.000], [0.366, 0.129, 0.000], [0.500, 0.713, 0.426], [0.500, 0.287, 0.574], [0.634, 0.871, 0.000], [0.134, 0.629, 0.000], [0.674, 0.304, 0.259], [0.326, 0.696, 0.741], [0.174, 0.196, 0.741], [0.000, 0.787, 0.574], [0.000, 0.000, 0.000], [0.326, 0.955, 0.259], [0.826, 0.545, 0.741]]}

=====

Record 11
{"formula": "VGaSeN2", "functional": "PBE", "state": "optimized geometry", "de_polymorph_mev_per_atom": 1043, "formation_energy_uncorrected_ev_per_atom": 1.243, "volume_a3_per_atom": 15.014, "dos_at_fermi_per_ev_cell": 5.22, "total_energy_ev_per_fu": -26.1, "lattice": [[-3.270, -0.616, 1.798], [-1.743, -0.458, -3.325], [1.053, -5.138, 0.155]], "species": ["V", "Se", "Ga", "N", "N"], "frac_coords": [[0.500, 0.500, 0.500], [0.000, 0.000, 0.500], [0.000, 0.000, 0.000], [0.000, 0.500, 0.000], [0.500, 0.000, 0.000]]}

=====

Record 12
{"formula": "KCaTe", "functional": "PBE", "state": "optimized geometry", "de_polymorph_mev_per_atom": 0, "formation_energy_uncorrected_ev_per_atom": -0.886, "volume_a3_per_atom": 49.287, "dos_at_fermi_per_ev_cell": 1.48, "total_energy_ev_per_fu": -8.9, "lattice": [[4.662, 0.000, 0.000], [-2.331, 4.037, 0.000], [0.000, 0.000, 7.856]], "species": ["Te", "K", "Ca"], "frac_coords": [[0.333, 0.667, 0.702], [0.667, 0.333, 0.408], [0.000, 0.000, 0.890]]}

=====

Record 13
{"formula": "K2LiCd4", "functional": "PBE", "state": "optimized geometry", "volume_a3_per_atom": 34.973, "dos_at_fermi_per_ev_cell": 5.57, "total_energy_ev_per_fu": -7.5, "formation_energy_ev_per_atom": 0.05, "lattice": [[-1.911, 0.700, 4.847], [1.866, -4.706, 1.415], [7.608, 1.763, 5.596]], "species": ["Cd", "Cd", "K", "Cd", "K", "Li", "Cd"], "frac_coords": [[0.000, 0.500, 0.000], [0.500, 0.000, 0.000], [0.353, 0.353, 0.295], [0.148, 0.148, 0.703], [0.647, 0.647, 0.705], [0.000, 0.000, 0.000], [0.852, 0.852, 0.297]]}

=====

Record 14
{"formula": "CaTe2Ru", "functional": "PBE", "state": "optimized geometry", "de_polymorph_mev_per_atom": 367, "formation_energy_uncorrected_ev_per_atom": -0.344, "volume_a3_per_atom": 26.126, "dos_at_fermi_per_ev_cell": 2.39, "total_energy_ev_per_fu": -18.9, "lattice": [[3.357, 0.000, 0.000], [0.000, 3.357, 0.000], [0.000, 0.000, 9.272]], "species": ["Ru", "Te", "Ca", "Te"], "frac_coords": [[0.500, 0.500, 0.770], [0.000, 0.000, 0.905], [0.000, 0.000, 0.535], [0.500, 0.500, 0.290]]}

=====

Record 15
{"formula": "Pm2PrNdEr5", "functional": "PBE", "state": "optimized geometry", "volume_a3_per_atom": 32.688, "dos_at_fermi_per_ev_cell": 19.15, "total_energy_ev_per_fu": -39.6, "formation_energy_ev_per_atom": 0.25, "lattice": [[-0.712, -8.223, 2.829], [8.678, -0.855, -0.298], [-3.488, 7.009, 6.041]], "species": ["Pm", "Er", "Pr", "Er", "Er", "Pm", "Er", "Er", "Er", "Er", "Er", "Nd", "Nd", "Er", "Pm", "Pm", "Pr", "Er"], "frac_coords": [[0.383, 0.883, 0.000], [0.656, 0.156, 0.728], [0.750, 0.750, 0.500], [0.344, 0.844, 0.272], [0.573, 0.656, 0.728], [0.617, 0.117, 0.000], [0.927, 0.427, 0.272], [0.156, 0.073, 0.728], [0.073, 0.573, 0.728], [0.844, 0.927, 0.272], [0.427, 0.344, 0.272], [0.750, 0.250, 0.500], [0.250, 0.750, 0.500], [0.000, 0.000, 0.000], [0.883, 0.617, 0.000], [0.117, 0.383, 0.000], [0.250, 0.250, 0.500], [0.500, 0.500, 0.000]]}

=====

Record 16
{"formula": "Al3Si3Ag4IO12", "functional": "PBE", "state": "optimized geometry", "formation_energy_uncorrected_ev_per_atom": -2.146, "volume_a3_per_atom": 16.229, "dos_at_fermi_per_ev_cell": 0.00, "total_energy_ev_per_fu": -149.3, "lattice": [[9.072, 0.000, 0.000], [0.000, 9.072, 0.000], [0.000, 0.000, 9.072]], "species": ["O", "O", "O", "Ag", "Si", "Ag", "O", "O", "O", "Ag", "O", "Si", "I", "O", "O", "Ag", "Ag", "Al", "O", "Al", "I", "O", "Ag", "Al", "O", "O", "O", "Si", "O", "O", "O", "O", "Si", "O", "Ag", "O", "O", "Si", "O", "O", "Al", "Ag", "Al", "Al", "Si", "O"], "frac_coords": [[0.361, 0.943, 0.351], [0.361, 0.057, 0.649], [0.649, 0.639, 0.943], [0.175, 0.175, 0.175], [0.250, 0.500, 0.000], [0.675, 0.675, 0.675], [0.557, 0.861, 0.149], [0.351, 0.639, 0.057], [0.057, 0.351, 0.639], [0.675, 0.325, 0.325], [0.149, 0.443, 0.139], [0.000, 0.750, 0.500], [0.000, 0.000, 0.000], [0.557, 0.139, 0.851], [0.057, 0.649, 0.361], [0.825, 0.175, 0.825], [0.825, 0.825, 0.175], [0.000, 0.500, 0.750], [0.861, 0.149, 0.557], [0.000, 0.500, 0.250], [0.500, 0.500, 0.500], [0.443, 0.139, 0.149], [0.175, 0.825, 0.825], [0.750, 0.000, 0.500], [0.139, 0.851, 0.557], [0.649, 0.361, 0.057], [0.443, 0.861, 0.851], [0.750, 0.500, 0.000], [0.851, 0.557, 0.139], [0.639, 0.943, 0.649], [0.943, 0.351, 0.361], [0.351, 0.361, 0.943], [0.500, 0.000, 0.250], [0.639, 0.057, 0.351], [0.325, 0.325, 0.675], [0.139, 0.149, 0.443], [0.149, 0.557, 0.861], [0.000, 0.250, 0.500], [0.943, 0.649, 0.639], [0.861, 0.851, 0.443], [0.500, 0.250, 0.000], [0.325, 0.675, 0.325], [0.250, 0.000, 0.500], [0.500, 0.750, 0.000], [0.500, 0.000, 0.750], [0.851, 0.443, 0.861]]}

=====

Record 17
{"formula": "MgCd2Cu", "functional": "PBE", "state": "optimized geometry", "volume_a3_per_atom": 19.125, "dos_at_fermi_per_ev_cell": 1.09, "total_energy_ev_per_fu": -7.4, "formation_energy_ev_per_atom": 0.02, "lattice": [[-4.063, 0.761, 1.894], [0.634, -2.006, 2.165], [2.541, 3.019, 4.237]], "species": ["Mg", "Cu", "Cd", "Cd"], "frac_coords": [[0.500, 0.750, 0.750], [0.500, 0.250, 0.250], [0.000, 0.101, 0.015], [0.000, 0.399, 0.485]]}

=====

Record 18
{"formula": "Mg2AlRh4", "functional": "PBE", "state": "optimized geometry", "volume_a3_per_atom": 15.510, "dos_at_fermi_per_ev_cell": 8.62, "total_energy_ev_per_fu": -38.8, "formation_energy_ev_per_atom": -0.35, "lattice": [[4.021, 0.000, -1.282], [-0.409, 4.001, -1.282], [-0.052, -0.058, 6.785]], "species": ["Mg", "Mg", "Rh", "Rh", "Rh", "Rh", "Al"], "frac_coords": [[0.254, 0.254, 0.507], [0.746, 0.746, 0.493], [0.387, 0.887, 0.774], [0.113, 0.613, 0.226], [0.613, 0.113, 0.226], [0.887, 0.387, 0.774], [0.000, 0.000, 0.000]]}

=====

Record 19
{"formula": "Be2Hg2Au", "functional": "PBE", "state": "optimized geometry", "de_polymorph_mev_per_atom": 71, "volume_a3_per_atom": 16.319, "dos_at_fermi_per_ev_cell": 1.33, "total_energy_ev_per_fu": -9.5, "formation_energy_ev_per_atom": 0.36, "lattice": [[3.334, 0.000, 0.000], [0.000, 3.334, 0.000], [1.667, 1.667, 7.340]], "species": ["Hg", "Hg", "Au", "Be", "Be"], "frac_coords": [[0.378, 0.378, 0.244], [0.622, 0.622, 0.756], [0.000, 0.000, 0.000], [0.750, 0.250, 0.500], [0.250, 0.750, 0.500]]}

=====

Record 20
{"formula": "YV2ZnIr", "functional": "PBE", "state": "optimized geometry", "volume_a3_per_atom": 21.536, "dos_at_fermi_per_ev_cell": 3.40, "total_energy_ev_per_fu": -33.0, "formation_energy_ev_per_atom": 0.36, "lattice": [[4.731, 0.000, 0.000], [0.000, 4.810, 0.000], [0.000, 0.000, 4.731]], "species": ["V", "V", "Ir", "Y", "Zn"], "frac_coords": [[0.000, 0.000, 0.500], [0.500, 0.000, 0.000], [0.000, 0.000, 0.000], [0.500, 0.500, 0.500], [0.000, 0.500, 0.000]]}